Computed, not measured: an optimized crystal structure of Cr2ReRu at the PBE level of DFT.

Cell lengths 2.6206, 2.6206, 8.3003 Å; angles 90.00, 90.00, 110.56 degrees
With the nearest neighbours (Å) after each atom.
Fractional coordinates of all 4 atoms:
Ru  0.5000  0.5000  0.7500  4 Cr 2.55, 4 Ru 2.62
Cr  0.0000  0.0000  0.5015  2 Ru 2.55, 2 Re 2.57, 4 Cr 2.62
Re  0.5000  0.5000  0.2500  4 Cr 2.57, 4 Re 2.62
Cr  0.0000  0.0000  0.9985  2 Ru 2.55, 2 Re 2.57, 4 Cr 2.62

Its density of states at the Fermi level is 6.6 states/eV/f.u. Its final energy is -40.1 eV for the cell shown. The density comes out at 12.2 g/cm3.